Entry 1:
PPb2S after structural relaxation. Source: Alexandria via LeMat-Bulk, functional PBE-GGA.

a = 7.2174 Å, b = 7.2174 Å, c = 6.9274 Å
α = 58.61°, β = 58.61°, γ = 90.00°
Atoms (fractional coordinates):
P (0.5000, 0.5000, 0.0000)
Pb (0.3750, 0.3829, 0.7500)
S (0.0000, 0.0000, 0.0000)
S (0.7500, 0.2500, 0.5000)
Pb (0.8750, 0.8671, 0.7500)
Pb (0.1329, 0.6250, 0.2500)
P (0.2500, 0.7500, 0.5000)
Pb (0.6171, 0.1250, 0.2500)

Values from the calculation:
* DOS(E_F): 0.546 states/eV per atom
* formation energy without anion corrections: 0.05 eV/atom
* space group: No. 122

Entry 2:
PPb2S after structural relaxation. Source: Alexandria via LeMat-Bulk, functional PBE-GGA.

a = 5.1150 Å, b = 5.1150 Å, c = 5.1150 Å
α = 60.00°, β = 60.00°, γ = 60.00°
Atoms (fractional coordinates):
Pb (0.7500, 0.7500, 0.7500)
S (0.5000, 0.5000, 0.5000)
Pb (0.2500, 0.2500, 0.2500)
P (0.0000, 0.0000, 0.0000)

Values from the calculation:
* DOS(E_F): 0.953 states/eV per atom
* formation energy without anion corrections: 0.12 eV/atom
* space group: No. 225

Entry 3:
SbPPbS2 after structural relaxation. Source: Alexandria via LeMat-Bulk, functional PBE-GGA.

a = 5.2619 Å, b = 5.2619 Å, c = 5.3343 Å
α = 90.00°, β = 90.00°, γ = 90.00°
Atoms (fractional coordinates):
Pb (0.5000, 0.5000, 0.5000)
P (0.0000, 0.0000, 0.5000)
Sb (0.0000, 0.0000, 0.0000)
S (0.0000, 0.5000, 0.0000)
S (0.5000, 0.0000, 0.0000)

Values from the calculation:
* DOS(E_F): 0.992 states/eV per atom
* formation energy without anion corrections: 0.41 eV/atom
* space group: No. 123

Entry 4:
SbP2PbS8 after structural relaxation. Source: Alexandria via LeMat-Bulk, functional PBE-GGA.

a = 5.9840 Å, b = 5.9840 Å, c = 9.4799 Å
α = 71.60°, β = 71.60°, γ = 60.00°
Atoms (fractional coordinates):
P (0.2486, 0.2486, 0.2541)
S (0.3088, 0.9243, 0.1847)
P (0.7514, 0.7514, 0.7459)
S (0.8274, 0.8274, 0.5179)
S (0.9243, 0.5822, 0.1847)
S (0.5822, 0.3088, 0.1847)
S (0.6912, 0.0757, 0.8153)
S (0.1726, 0.1726, 0.4821)
Sb (0.0000, 0.0000, 0.0000)
S (0.0757, 0.4178, 0.8153)
Pb (0.5000, 0.5000, 0.5000)
S (0.4178, 0.6912, 0.8153)

Values from the calculation:
* DOS(E_F): 0.469 states/eV per atom
* formation energy without anion corrections: -0.14 eV/atom
* space group: No. 148

Q: Among the records above, which one has the highest DOS(E_F)?
A: SbPPbS2

Q: Among the records above, which one has the highest formation energy without anion corrections?
A: SbPPbS2

Q: Number 4 is which compound?
A: SbP2PbS8

Q: DOS(E_F) of number 1 (PPb2S)?
A: 0.546 states/eV per atom